[1]
DFT (PBE) results for a relaxed Ba3ErN3 crystal.

Properties
Space group: P6_3/m, No. 176
Total magnetic moment: 0.00 μB per formula unit
Calculated total energy: -5.5103 eV/atom

Structure (extended XYZ):
```
14
Lattice="8.435 0.000 0.000 -4.217 7.305 0.000 0.000 0.000 5.825" Properties=species:S:1:pos:R:3 pbc="T T T"
Ba -0.741 2.508 1.456
Ba -1.675 6.692 1.456
Ba 1.801 1.895 4.368
Ba 2.416 5.409 1.456
Ba 5.893 0.612 4.368
Ba 4.958 4.797 4.368
Er 0.000 4.870 4.368
Er 4.217 2.435 1.456
N -0.685 2.785 4.368
N -1.463 6.505 4.368
N 2.070 1.986 1.456
N 2.148 5.319 4.368
N 5.680 0.799 1.456
N 4.902 4.519 1.456
```


[2]
DFT (PBE) results for a relaxed Gd2HoNiSn3Ir2 crystal.

Properties
Space group: Amm2, No. 38
Total magnetic moment: 0.00 μB per formula unit
Calculated total energy: -6.2529 eV/atom

Structure (extended XYZ):
```
9
Lattice="3.867 0.000 0.000 0.000 6.494 3.759 0.000 -6.494 3.759" Properties=species:S:1:pos:R:3 pbc="T T T"
Gd 0.000 -3.840 3.759
Gd 0.000 3.840 3.759
Ho 0.000 0.000 2.913
Ni 0.000 0.000 5.969
Sn 1.934 0.000 0.368
Sn 1.934 -1.637 5.028
Sn 1.934 1.637 5.028
Ir 1.934 -2.138 2.230
Ir 1.934 2.138 2.230
```


[3]
DFT (PBE) results for a relaxed PdPbO3 crystal.

Properties
Space group: P4mm, No. 99
Calculated total energy: -4.9968 eV/atom

Structure (extended XYZ):
```
5
Lattice="4.072 0.000 0.000 0.000 4.072 0.000 0.000 0.000 4.615" Properties=species:S:1:pos:R:3 pbc="T T T"
Pd 0.000 0.000 0.000
Pb 2.036 2.036 3.148
O 0.000 2.036 4.050
O 2.036 0.000 4.050
O 2.036 2.036 1.159
```


[4]
DFT (PBE) results for a relaxed TbDy2In3CuIr2 crystal.

Properties
Space group: Amm2, No. 38
Total magnetic moment: 0.00 μB per formula unit
Calculated total energy: -5.4597 eV/atom

Structure (extended XYZ):
```
9
Lattice="3.867 0.000 0.000 0.000 6.556 3.777 0.000 -6.556 3.777" Properties=species:S:1:pos:R:3 pbc="T T T"
Tb 0.000 0.000 0.000
Dy 0.000 -2.708 2.871
Dy 0.000 2.708 2.871
In 1.934 0.000 2.522
In 1.934 -1.661 5.386
In 1.934 1.661 5.386
Cu 0.000 0.000 4.431
Ir 1.934 -4.364 4.435
Ir 1.934 4.364 4.435
```


[5]
DFT (PBE) results for a relaxed Nd3Cu4Sn2Ge2 crystal.

Properties
Space group: Immm, No. 71
Total magnetic moment: 0.00 μB per formula unit
Energy above the most stable polymorph in this dataset: 0 meV per atom

Structure (extended XYZ):
```
11
Lattice="-2.241 3.408 7.400 2.241 -3.408 7.400 2.241 3.408 -7.400" Properties=species:S:1:pos:R:3 pbc="T T T"
Nd 0.000 0.000 0.000
Nd 2.241 0.000 5.508
Nd 0.000 3.408 1.892
Cu 2.241 1.269 -2.348
Cu 2.241 1.269 2.348
Cu 0.000 2.139 5.051
Cu 0.000 2.139 9.748
Sn 0.000 0.000 3.218
Sn 0.000 0.000 11.582
Ge 2.241 2.119 0.000
Ge 0.000 1.289 7.400
```


[6]
DFT (PBE) results for a relaxed Cu2Ag3 crystal.

Properties
Energy of formation: 8.8 kJ per mole of atoms
Space group: Pm, No. 6
Energy above the most stable polymorph in this dataset: 59 meV per atom

Structure (extended XYZ):
```
10
Lattice="4.858 0.000 0.000 0.000 2.844 0.000 -1.368 0.000 11.303" Properties=species:S:1:pos:R:3 pbc="T T T"
Cu 0.000 0.000 0.000
Cu -0.677 1.422 9.301
Cu 1.658 0.000 2.299
Cu 1.877 0.000 9.276
Ag 0.153 0.000 7.097
Ag 0.921 1.422 4.587
Ag 2.371 1.422 0.078
Ag 2.578 1.422 7.073
Ag 3.332 0.000 4.624
Ag 4.140 1.422 2.227
```


[7]
DFT (PBE) results for a relaxed Ho3Lu3BiSbOs crystal.

Properties
Space group: P-6, No. 174
Total magnetic moment: 0.02 μB per formula unit
Calculated total energy: -5.8350 eV/atom

Structure (extended XYZ):
```
9
Lattice="8.122 0.000 0.000 -4.061 7.034 0.000 0.000 0.000 4.207" Properties=species:S:1:pos:R:3 pbc="T T T"
Ho -2.445 4.328 0.000
Ho 1.535 2.752 0.000
Ho 0.910 6.987 0.000
Lu -0.933 1.634 2.103
Lu -2.179 7.024 2.103
Lu 3.112 5.409 2.103
Bi 4.061 2.345 2.103
Sb 0.000 4.689 2.103
Os 0.000 0.000 0.000
```


[8]
DFT (PBE) results for a relaxed ZrFeReSi crystal.

Properties
Space group: F-43m, No. 216
Total magnetic moment: 0.93 μB per formula unit
Energy above the most stable polymorph in this dataset: 0 meV per atom

Structure (extended XYZ):
```
16
Lattice="6.155 0.000 0.000 0.000 6.155 0.000 0.000 0.000 6.155" Properties=species:S:1:pos:R:3 pbc="T T T"
Zr 0.000 0.000 0.000
Zr 0.000 3.077 3.077
Zr 3.077 0.000 3.077
Zr 3.077 3.077 0.000
Fe 1.539 1.539 4.616
Fe 1.539 4.616 1.539
Fe 4.616 1.539 1.539
Fe 4.616 4.616 4.616
Re 1.539 1.539 1.539
Re 1.539 4.616 4.616
Re 4.616 1.539 4.616
Re 4.616 4.616 1.539
Si 0.000 0.000 3.077
Si 0.000 3.077 0.000
Si 3.077 0.000 0.000
Si 3.077 3.077 3.077
```


no.,calculated density (kg/m³)
1,5750
2,11246
3,7849
4,11065
5,7858
6,9584
7,10646
8,10295